No. 1
First-principles (GGA-PBE) data for a geometry-optimized MgAg3As structure, as listed in Alexandria.

a b c (Å): 4.874 4.874 4.874
angles (deg): 90.00 90.00 90.00
Positions (direct):
1 Ag 0.000 0.500 0.000
2 Ag 0.500 0.000 0.000
3 Ag 0.000 0.000 0.500
4 As 0.500 0.500 0.500
5 Mg 0.000 0.000 0.000

Output
DOS(E_F) = 0.33 states/eV per atom
Relative energy among the computed polymorphs = 439 meV/atom
Energy of formation from the pure elements = 0.75 eV per atom
Energy = -11.064 eV/f.u.

No. 2
First-principles (GGA-PBE) data for a geometry-optimized Ba12LiHg6 structure, as listed in Alexandria.

a b c (Å): 10.128 10.128 10.128
angles (deg): 101.42 101.42 101.42
Positions (direct):
1 Ba 0.944 0.327 0.070
2 Ba 0.584 0.438 0.828
3 Ba 0.056 0.673 0.930
4 Ba 0.930 0.056 0.673
5 Ba 0.416 0.562 0.172
6 Ba 0.327 0.070 0.944
7 Ba 0.438 0.828 0.584
8 Ba 0.562 0.172 0.416
9 Ba 0.828 0.584 0.438
10 Ba 0.070 0.944 0.327
11 Ba 0.172 0.416 0.562
12 Ba 0.673 0.930 0.056
13 Hg 0.139 0.624 0.307
14 Hg 0.624 0.307 0.139
15 Hg 0.307 0.139 0.624
16 Hg 0.376 0.693 0.861
17 Hg 0.861 0.376 0.693
18 Hg 0.693 0.861 0.376
19 Li 0.000 0.000 0.000

Output
DOS(E_F) = 1.50 states/eV per atom
Relative energy among the computed polymorphs = 81 meV/atom
Energy of formation from the pure elements = -0.20 eV per atom
Energy = -30.600 eV/f.u.

No. 3
First-principles (GGA-PBE) data for a geometry-optimized La2NiPd structure, as listed in Alexandria.

a b c (Å): 4.122 4.122 7.533
angles (deg): 74.12 74.12 60.00
Positions (direct):
1 Ni 0.666 0.666 0.003
2 La 0.256 0.256 0.231
3 La 0.077 0.077 0.770
4 Pd 0.501 0.501 0.496

Output
DOS(E_F) = 0.55 states/eV per atom
Energy of formation from the pure elements = -0.45 eV per atom
Energy = -22.616 eV/f.u.

No. 4
First-principles (GGA-PBE) data for a geometry-optimized K4IrN2 structure, as listed in Alexandria.

a b c (Å): 8.861 4.409 7.258
angles (deg): 72.33 80.41 75.58
Positions (direct):
1 Ir 0.000 0.000 0.000
2 N 0.932 0.907 0.254
3 N 0.068 0.093 0.746
4 K 0.136 0.268 0.328
5 K 0.864 0.732 0.672
6 K 0.274 0.466 0.794
7 K 0.726 0.534 0.206

Output
DOS(E_F) = 0.23 states/eV per atom
Formation energy from raw total energies = -0.015 eV per atom
Energy = -30.006 eV/f.u.